! Ce4H2Se5 PBE-GGA relaxed; values from VASP
&SYSTEM
  ibrav = 0, nat = 11, ntyp = 3
/
ATOMIC_SPECIES
H 1.01 H.upf
Ce 140.12 Ce.upf
Se 78.96 Se.upf
CELL_PARAMETERS angstrom
-1.029 1.956 -3.636
6.581 -2.565 -3.243
-9.165 -5.704 2.015
ATOMIC_POSITIONS crystal
H 0.427 0.549 0.854
H 0.573 0.451 0.146
Ce 0.288 0.307 0.576
Ce 0.712 0.693 0.424
Ce 0.018 0.286 0.037
Ce 0.982 0.714 0.963
Se 0.500 0.000 0.000
Se 0.168 0.374 0.336
Se 0.143 0.811 0.287
Se 0.857 0.189 0.713
Se 0.832 0.626 0.664
! - raw total energy (eV per cell) = -62.90
! - total moment (Bohr magnetons per cell) = 4.0
! - DOS at the Fermi energy (states/eV per atom) = 2.352